1.
# FeCo2Ru | Alexandria | PBE-GGA | optimized geometry
# **Energy above the lowest structure with this stoichiometry**: 0.09 eV per formula unit
# **Energy**: -7.854 eV per atom
# **DFT formation energy**: 0.1334 eV per atom
data_FeCo2Ru
_symmetry_space_group_name_H-M 'C 1 m 1'
_symmetry_Int_Tables_number 8
_cell_length_a 8.4394
_cell_length_b 2.5724
_cell_length_c 4.4271
_cell_angle_alpha 90.00
_cell_angle_beta 100.09
_cell_angle_gamma 90.00
loop_
_symmetry_equiv_pos_as_xyz
'x,y,z'
'x,-y,z'
'x+1/2,y+1/2,z'
'x+1/2,-y+1/2,z'
loop_
_atom_site_label
_atom_site_type_symbol
_atom_site_fract_x
_atom_site_fract_y
_atom_site_fract_z
Fe1 Fe 0.0000 0.0000 0.0000
Co1 Co 0.0053 0.5000 0.5173
Co2 Co 0.2499 0.0000 0.7578
Ru1 Ru 0.2550 0.5000 0.2679

=====

2.
# FeCo2Ru2 | Alexandria | PBE-GGA | optimized geometry
# **Energy above the lowest structure with this stoichiometry**: 0.15 eV per formula unit
# **Energy**: -7.783 eV per atom
# **DFT formation energy**: 0.4617 eV per atom
data_FeCo2Ru2
_symmetry_space_group_name_H-M 'I 4/m m m'
_symmetry_Int_Tables_number 139
_symmetry_space_group_name_Hall '-I 4 2'
_cell_length_a 3.1848
_cell_length_b 3.1848
_cell_length_c 12.9617
_cell_angle_alpha 90.00
_cell_angle_beta 90.00
_cell_angle_gamma 90.00
loop_
_atom_site_label
_atom_site_type_symbol
_atom_site_fract_x
_atom_site_fract_y
_atom_site_fract_z
Fe1 Fe 0.0000 0.0000 0.0000
Co1 Co 0.0000 0.5000 0.2500
Ru1 Ru 0.0000 0.0000 0.3990

=====

3.
# FeCo2Ru2 | Alexandria | PBE-GGA | optimized geometry
# **Energy above the lowest structure with this stoichiometry**: 0.00 eV per formula unit
# **Energy**: -7.814 eV per atom
# **DFT formation energy**: 0.4308 eV per atom
data_FeCo2Ru2
_symmetry_space_group_name_H-M 'P 4/m b m'
_symmetry_Int_Tables_number 127
_symmetry_space_group_name_Hall '-P 4 2ab'
_cell_length_a 6.8297
_cell_length_b 6.8297
_cell_length_c 2.6652
_cell_angle_alpha 90.00
_cell_angle_beta 90.00
_cell_angle_gamma 90.00
loop_
_atom_site_label
_atom_site_type_symbol
_atom_site_fract_x
_atom_site_fract_y
_atom_site_fract_z
Fe1 Fe 0.0000 0.0000 0.0000
Co1 Co 0.1204 0.3796 0.0000
Ru1 Ru 0.1769 0.6769 0.5000

=====

4.
# FeCo2Ru | Alexandria | PBE-GGA | optimized geometry
# **Energy above the lowest structure with this stoichiometry**: 0.07 eV per formula unit
# **Energy**: -7.860 eV per atom
# **DFT formation energy**: 0.1279 eV per atom
data_FeCo2Ru
_symmetry_space_group_name_H-M 'I -4 m 2'
_symmetry_Int_Tables_number 119
_symmetry_space_group_name_Hall 'I -4 -2'
_cell_length_a 3.5835
_cell_length_b 3.5835
_cell_length_c 7.2055
_cell_angle_alpha 90.00
_cell_angle_beta 90.00
_cell_angle_gamma 90.00
loop_
_atom_site_label
_atom_site_type_symbol
_atom_site_fract_x
_atom_site_fract_y
_atom_site_fract_z
Fe1 Fe 0.0000 0.0000 0.0000
Co1 Co 0.0000 0.0000 0.5000
Co2 Co 0.0000 0.5000 0.2500
Ru1 Ru 0.0000 0.5000 0.7500

=====

5.
# FeCo2Ru | Alexandria | PBE-GGA | optimized geometry
# **Energy above the lowest structure with this stoichiometry**: 0.13 eV per formula unit
# **Energy**: -7.844 eV per atom
# **DFT formation energy**: 0.1436 eV per atom
data_FeCo2Ru
_symmetry_space_group_name_H-M 'P 4/m m m'
_symmetry_Int_Tables_number 123
_symmetry_space_group_name_Hall '-P 4 2'
_cell_length_a 3.6049
_cell_length_b 3.6049
_cell_length_c 3.5723
_cell_angle_alpha 90.00
_cell_angle_beta 90.00
_cell_angle_gamma 90.00
loop_
_atom_site_label
_atom_site_type_symbol
_atom_site_fract_x
_atom_site_fract_y
_atom_site_fract_z
Fe1 Fe 0.0000 0.0000 0.0000
Co1 Co 0.0000 0.5000 0.5000
Ru1 Ru 0.5000 0.5000 0.0000

=====

6.
# FeCo2Ru | Alexandria | PBE-GGA | optimized geometry
# **Energy above the lowest structure with this stoichiometry**: 0.43 eV per formula unit
# **Energy**: -7.770 eV per atom
# **DFT formation energy**: 0.2180 eV per atom
data_FeCo2Ru
_symmetry_space_group_name_H-M 'C m m m'
_symmetry_Int_Tables_number 65
_symmetry_space_group_name_Hall '-C 2 2'
_cell_length_a 2.7991
_cell_length_b 4.2610
_cell_length_c 8.2650
_cell_angle_alpha 90.00
_cell_angle_beta 90.00
_cell_angle_gamma 90.00
loop_
_atom_site_label
_atom_site_type_symbol
_atom_site_fract_x
_atom_site_fract_y
_atom_site_fract_z
Fe1 Fe 0.0000 0.0000 0.0000
Co1 Co 0.0000 0.5000 0.2381
Ru1 Ru 0.0000 0.0000 0.5000